1.
AlMoP2O9 | GGA-PBEsol | relaxed Values from VASP.

The structure in Quantum ESPRESSO input format:
```
&SYSTEM
  ibrav = 0, nat = 52, ntyp = 4
/
ATOMIC_SPECIES
Al 26.98 Al.upf
Mo 95.94 Mo.upf
P 30.97 P.upf
O 16.00 O.upf
CELL_PARAMETERS angstrom
8.8143 0.0000 0.0000
0.0000 8.8143 0.0000
0.0000 0.0000 8.7532
ATOMIC_POSITIONS crystal
Al 0.2500 0.7500 0.0000
Al 0.2500 0.7500 0.5000
Al 0.7500 0.2500 0.0000
Al 0.7500 0.2500 0.5000
Mo 0.2500 0.2500 0.1743
Mo 0.2500 0.2500 0.6743
Mo 0.7500 0.7500 0.3257
Mo 0.7500 0.7500 0.8257
P 0.0648 0.5648 0.2500
P 0.0648 0.9352 0.7500
P 0.4352 0.5648 0.7500
P 0.4352 0.9352 0.2500
P 0.5648 0.0648 0.7500
P 0.5648 0.4352 0.2500
P 0.9352 0.0648 0.2500
P 0.9352 0.4352 0.7500
O 0.0851 0.1081 0.7280
O 0.0851 0.3919 0.2280
O 0.1081 0.0851 0.2280
O 0.1081 0.4149 0.7280
O 0.1181 0.6502 0.1081
O 0.1181 0.8498 0.6081
O 0.1502 0.6181 0.3919
O 0.1502 0.8819 0.8919
O 0.2500 0.2500 0.4838
O 0.2500 0.2500 0.9838
O 0.3498 0.6181 0.8919
O 0.3498 0.8819 0.3919
O 0.3819 0.6502 0.6081
O 0.3819 0.8498 0.1081
O 0.3919 0.0851 0.7280
O 0.3919 0.4149 0.2280
O 0.4149 0.1081 0.2280
O 0.4149 0.3919 0.7280
O 0.5851 0.6081 0.2720
O 0.5851 0.8919 0.7720
O 0.6081 0.5851 0.7720
O 0.6081 0.9149 0.2720
O 0.6181 0.1502 0.8919
O 0.6181 0.3498 0.3919
O 0.6502 0.1181 0.6081
O 0.6502 0.3819 0.1081
O 0.7500 0.7500 0.0162
O 0.7500 0.7500 0.5162
O 0.8498 0.1181 0.1081
O 0.8498 0.3819 0.6081
O 0.8819 0.1502 0.3919
O 0.8819 0.3498 0.8919
O 0.8919 0.5851 0.2720
O 0.8919 0.9149 0.7720
O 0.9149 0.6081 0.7720
O 0.9149 0.8919 0.2720
```

uncorrected formation energy: -2.333 eV per atom
size of the total moment: 0.077 μB/atom
total energy: -420.0 eV per cell



2.
Al2IrOs | GGA-PBEsol | relaxed Values from VASP.

The structure in Quantum ESPRESSO input format:
```
&SYSTEM
  ibrav = 0, nat = 4, ntyp = 3
/
ATOMIC_SPECIES
Al 26.98 Al.upf
Ir 192.22 Ir.upf
Os 190.23 Os.upf
CELL_PARAMETERS angstrom
1.3981 0.8072 8.4614
-1.3981 0.8072 8.4614
0.0000 -1.6144 8.4614
ATOMIC_POSITIONS crystal
Al 0.0000 0.0000 0.0000
Al 0.2436 0.2436 0.2436
Ir 0.7451 0.7451 0.7451
Os 0.4975 0.4975 0.4975
```

density of states at the Fermi level: 0.441 states/eV/atom
formation energy: -0.183 eV per atom
size of the total moment: 0.000 μB/atom
total energy: -31.0 eV per cell
E above lowest polymorph: 0.514 eV/atom



3.
Ag4Au | GGA-PBEsol | relaxed Values from VASP.

The structure in Quantum ESPRESSO input format:
```
&SYSTEM
  ibrav = 0, nat = 5, ntyp = 2
/
ATOMIC_SPECIES
Ag 107.87 Ag.upf
Au 196.97 Au.upf
CELL_PARAMETERS angstrom
1.4346 0.8283 11.6500
-1.4346 0.8283 11.6500
0.0000 -1.6566 11.6500
ATOMIC_POSITIONS crystal
Ag 0.0995 0.0995 0.0995
Ag 0.3000 0.3000 0.3000
Ag 0.7000 0.7000 0.7000
Ag 0.9005 0.9005 0.9005
Au 0.5000 0.5000 0.5000
```

density of states at the Fermi level: 0.241 states/eV/atom
formation energy: -0.018 eV per atom
size of the total moment: 0.000 μB/atom
total energy: -17.3 eV per cell
E above lowest polymorph: 0.016 eV/atom



4.
Hf4C3N | GGA-PBEsol | relaxed Values from VASP.

The structure in Quantum ESPRESSO input format:
```
&SYSTEM
  ibrav = 0, nat = 8, ntyp = 3
/
ATOMIC_SPECIES
Hf 178.49 Hf.upf
C 12.01 C.upf
N 14.01 N.upf
CELL_PARAMETERS angstrom
1.6206 0.9357 10.5675
-1.6206 0.9357 10.5675
0.0000 -1.8713 10.5675
ATOMIC_POSITIONS crystal
Hf 0.1241 0.1241 0.1241
Hf 0.3746 0.3746 0.3746
Hf 0.6254 0.6254 0.6254
Hf 0.8759 0.8759 0.8759
C 0.0000 0.0000 0.0000
C 0.2484 0.2484 0.2484
C 0.7516 0.7516 0.7516
N 0.5000 0.5000 0.5000
```

density of states at the Fermi level: 0.140 states/eV/atom
uncorrected formation energy: -1.305 eV per atom
size of the total moment: 0.000 μB/atom
total energy: -89.9 eV per cell



5.
InFeNi | GGA-PBEsol | relaxed Values from VASP.

The structure in Quantum ESPRESSO input format:
```
&SYSTEM
  ibrav = 0, nat = 3, ntyp = 3
/
ATOMIC_SPECIES
In 114.82 In.upf
Fe 55.84 Fe.upf
Ni 58.69 Ni.upf
CELL_PARAMETERS angstrom
-1.4724 1.4724 4.7970
1.4724 -1.4724 4.7970
1.4724 1.4724 -4.7970
ATOMIC_POSITIONS crystal
In 0.0000 0.0000 0.0000
Fe 0.3091 0.3091 0.0000
Ni 0.6803 0.6803 0.0000
```

density of states at the Fermi level: 0.870 states/eV/atom
formation energy: 0.114 eV per atom
size of the total moment: 0.979 μB/atom
total energy: -17.8 eV per cell
E above lowest polymorph: 0.000 eV/atom



6.
RbTcI2N | GGA-PBEsol | relaxed Values from VASP.

The structure in Quantum ESPRESSO input format:
```
&SYSTEM
  ibrav = 0, nat = 5, ntyp = 4
/
ATOMIC_SPECIES
Rb 85.47 Rb.upf
Tc 98.00 Tc.upf
I 126.90 I.upf
N 14.01 N.upf
CELL_PARAMETERS angstrom
6.5129 0.0000 0.0000
0.0000 6.5129 0.0000
0.0000 0.0000 5.0601
ATOMIC_POSITIONS crystal
Rb 0.0000 0.0000 0.0000
Tc 0.5000 0.5000 0.5000
I 0.0000 0.5000 0.0000
I 0.5000 0.0000 0.0000
N 0.0000 0.0000 0.5000
```

density of states at the Fermi level: 1.047 states/eV/atom
uncorrected formation energy: 1.869 eV per atom
size of the total moment: 1.566 μB/atom
total energy: -15.0 eV per cell



7.
MnTeC3 | GGA-PBEsol | relaxed Values from VASP.

The structure in Quantum ESPRESSO input format:
```
&SYSTEM
  ibrav = 0, nat = 5, ntyp = 3
/
ATOMIC_SPECIES
Mn 54.94 Mn.upf
Te 127.60 Te.upf
C 12.01 C.upf
CELL_PARAMETERS angstrom
4.1214 0.0000 0.0000
0.0000 4.1214 0.0000
0.0000 0.0000 4.1214
ATOMIC_POSITIONS crystal
Mn 0.0000 0.0000 0.0000
Te 0.5000 0.5000 0.5000
C 0.0000 0.5000 0.5000
C 0.5000 0.0000 0.5000
C 0.5000 0.5000 0.0000
```

density of states at the Fermi level: 0.536 states/eV/atom
uncorrected formation energy: 2.954 eV per atom
size of the total moment: 0.616 μB/atom
total energy: -27.4 eV per cell



8.
BPPbO5 | GGA-PBEsol | relaxed Values from VASP.

The structure in Quantum ESPRESSO input format:
```
&SYSTEM
  ibrav = 0, nat = 24, ntyp = 4
/
ATOMIC_SPECIES
B 10.81 B.upf
P 30.97 P.upf
Pb 207.20 Pb.upf
O 16.00 O.upf
CELL_PARAMETERS angstrom
6.9175 0.0000 0.0000
-3.4587 5.9907 0.0000
0.0000 0.0000 6.8587
ATOMIC_POSITIONS crystal
B 0.0000 0.0998 0.1667
B 0.0998 0.0000 0.8333
B 0.9002 0.9002 0.5000
P 0.0000 0.5971 0.6667
P 0.4029 0.4029 0.0000
P 0.5971 0.0000 0.3333
Pb 0.0000 0.6108 0.1667
Pb 0.3892 0.3892 0.5000
Pb 0.6108 0.0000 0.8333
O 0.0000 0.0440 0.6667
O 0.0440 0.0000 0.3333
O 0.1374 0.5531 0.5204
O 0.1494 0.8144 0.7938
O 0.1856 0.3349 0.1272
O 0.3349 0.1856 0.8728
O 0.4157 0.8626 0.1870
O 0.4469 0.5843 0.8537
O 0.5531 0.1374 0.4796
O 0.5843 0.4469 0.1463
O 0.6651 0.8506 0.4605
O 0.8144 0.1494 0.2062
O 0.8506 0.6651 0.5395
O 0.8626 0.4157 0.8130
O 0.9560 0.9560 0.0000
```

density of states at the Fermi level: 0.000 states/eV/atom
uncorrected formation energy: -2.136 eV per atom
size of the total moment: 0.000 μB/atom
total energy: -180.4 eV per cell



9.
Ti2CoS4 | GGA-PBEsol | relaxed Values from VASP.

The structure in Quantum ESPRESSO input format:
```
&SYSTEM
  ibrav = 0, nat = 7, ntyp = 3
/
ATOMIC_SPECIES
Ti 47.87 Ti.upf
Co 58.93 Co.upf
S 32.06 S.upf
CELL_PARAMETERS angstrom
6.1437 -1.6559 0.0000
6.1437 1.6559 0.0000
-2.5871 0.0000 5.0885
ATOMIC_POSITIONS crystal
Ti 0.2433 0.2433 0.2351
Ti 0.7567 0.7567 0.7649
Co 0.5000 0.5000 0.5000
S 0.1176 0.1176 0.4574
S 0.3883 0.3883 0.0574
S 0.6117 0.6117 0.9426
S 0.8824 0.8824 0.5426
```

density of states at the Fermi level: 0.656 states/eV/atom
uncorrected formation energy: -1.247 eV per atom
size of the total moment: 0.000 μB/atom
total energy: -50.6 eV per cell



10.
Er5SbPt2 | GGA-PBEsol | relaxed Values from VASP.

The structure in Quantum ESPRESSO input format:
```
&SYSTEM
  ibrav = 0, nat = 16, ntyp = 3
/
ATOMIC_SPECIES
Er 167.26 Er.upf
Sb 121.76 Sb.upf
Pt 195.08 Pt.upf
CELL_PARAMETERS angstrom
-3.7908 3.7908 6.6489
3.7908 -3.7908 6.6489
3.7908 3.7908 -6.6489
ATOMIC_POSITIONS crystal
Er 0.0000 0.0000 0.0000
Er 0.0182 0.5182 0.8151
Er 0.2031 0.0182 0.5000
Er 0.2969 0.7969 0.8151
Er 0.4818 0.2969 0.5000
Er 0.5000 0.5000 0.0000
Er 0.5182 0.7031 0.5000
Er 0.7031 0.2031 0.1849
Er 0.7969 0.9818 0.5000
Er 0.9818 0.4818 0.1849
Sb 0.2500 0.2500 0.0000
Sb 0.7500 0.7500 0.0000
Pt 0.1375 0.3625 0.5000
Pt 0.3625 0.8625 0.2249
Pt 0.6375 0.1375 0.7751
Pt 0.8625 0.6375 0.5000
```

density of states at the Fermi level: 0.778 states/eV/atom
uncorrected formation energy: -1.011 eV per atom
size of the total moment: 0.000 μB/atom
total energy: -102.4 eV per cell



11.
ZnCrI2 | GGA-PBEsol | relaxed Values from VASP.

The structure in Quantum ESPRESSO input format:
```
&SYSTEM
  ibrav = 0, nat = 4, ntyp = 3
/
ATOMIC_SPECIES
Zn 65.41 Zn.upf
Cr 52.00 Cr.upf
I 126.90 I.upf
CELL_PARAMETERS angstrom
0.0000 3.6606 3.6606
3.6606 0.0000 3.6606
3.6606 3.6606 0.0000
ATOMIC_POSITIONS crystal
Zn 0.0000 0.0000 0.0000
Cr 0.5000 0.5000 0.5000
I 0.2500 0.2500 0.2500
I 0.7500 0.7500 0.7500
```

density of states at the Fermi level: 1.064 states/eV/atom
uncorrected formation energy: 0.435 eV per atom
size of the total moment: 1.059 μB/atom
total energy: -13.6 eV per cell



12.
Nd2Co17 | GGA-PBEsol | relaxed Values from VASP.

The structure in Quantum ESPRESSO input format:
```
&SYSTEM
  ibrav = 0, nat = 19, ntyp = 2
/
ATOMIC_SPECIES
Nd 144.24 Nd.upf
Co 58.93 Co.upf
CELL_PARAMETERS angstrom
4.1186 2.3779 3.9890
-4.1186 2.3779 3.9890
0.0000 -4.7558 3.9890
ATOMIC_POSITIONS crystal
Nd 0.1550 0.1550 0.1550
Nd 0.8450 0.8450 0.8450
Co 0.0000 0.5000 0.5000
Co 0.1565 0.1565 0.6477
Co 0.1565 0.6477 0.1565
Co 0.2147 0.5000 0.7853
Co 0.2147 0.7853 0.5000
Co 0.3523 0.8435 0.8435
Co 0.4039 0.4039 0.4039
Co 0.5000 0.0000 0.5000
Co 0.5000 0.2147 0.7853
Co 0.5000 0.5000 0.0000
Co 0.5000 0.7853 0.2147
Co 0.5961 0.5961 0.5961
Co 0.6477 0.1565 0.1565
Co 0.7853 0.2147 0.5000
Co 0.7853 0.5000 0.2147
Co 0.8435 0.3523 0.8435
Co 0.8435 0.8435 0.3523
```

density of states at the Fermi level: 1.024 states/eV/atom
formation energy: -0.037 eV per atom
size of the total moment: 1.301 μB/atom
total energy: -142.6 eV per cell



Q: The lowest total energy belongs to which entry?
A: AlMoP2O9



Q: Which formula does entry 7 have?
A: MnTeC3



Q: size of the total moment of number 8 (BPPbO5)?
A: 0.000 μB/atom